Record 1
A plane-wave DFT calculation with PBE-GGA was carried out for a geometry-optimized TaIn2Br structure.

```
4
Lattice="3.2280 0.0000 0.0000 0.0000 3.2280 0.0000 0.0000 0.0000 8.7452" Properties=species:S:1:pos:R:3 pbc="T T T"
Ta 0.0000 0.0000 0.0000
In 1.6140 1.6140 1.9667
In 1.6140 1.6140 6.7785
Br 0.0000 0.0000 4.3726
```

Output
- Symmetry: P4/mmm, No. 123
- Energy above the lowest structure with this stoichiometry: 0.1090 eV per atom
- Uncorrected formation energy: 0.23 eV/atom
- Volume: 22.78 Å³ per atom



Record 2
A plane-wave DFT calculation with PBE-GGA was carried out for a geometry-optimized La2Pm5Sm2 structure.

```
18
Lattice="-7.5875 6.0626 3.4498 7.5875 -6.0626 3.4498 7.5875 6.0626 -3.4498" Properties=species:S:1:pos:R:3 pbc="T T T"
La 1.9107 0.0447 0.0000
La 5.6768 0.0447 0.0000
La 1.9107 6.0179 3.4498
La 5.6768 6.0179 3.4498
Pm 8.3986 3.0611 -1.0042
Pm 6.7764 -3.0015 2.4457
Pm 11.3813 2.8794 1.0213
Pm 2.1720 3.2438 1.2320
Pm 5.4155 3.2438 1.2320
Pm -0.8111 3.0015 2.4457
Pm 8.3986 3.0015 2.4457
Pm -2.1720 8.8813 1.2320
Pm -3.7938 3.1831 4.4711
Pm 2.1720 2.8188 4.6818
Sm 3.7938 5.9909 -0.2404
Sm 3.7938 0.0716 3.2094
Sm 0.0000 6.0626 0.2404
Sm 0.0000 0.0000 3.6902
```

Output
- Symmetry: Ima2, No. 46
- Energy above the lowest structure with this stoichiometry: 0.1374 eV per atom
- ΔH_f (0 K): 0.18 eV/atom
- Volume: 35.26 Å³ per atom



Record 3
A plane-wave DFT calculation with PBE-GGA was carried out for a geometry-optimized Cs2NbCu2Te4 structure.

```
9
Lattice="7.8379 -2.1397 0.0000 7.8379 2.1397 0.0000 -2.6765 0.0000 8.4689" Properties=species:S:1:pos:R:3 pbc="T T T"
Cs 1.9273 0.0000 0.5381
Cs 11.0720 0.0000 7.9307
Nb -1.3383 0.0000 4.2344
Cu 3.4982 0.0000 4.3275
Cu 9.5011 0.0000 4.1414
Te 1.1857 0.0000 5.6385
Te 5.6191 0.0000 5.9590
Te 7.3802 0.0000 2.5099
Te 11.8136 0.0000 2.8304
```

Output
- Symmetry: C2/m, No. 12
- Uncorrected formation energy: -0.49 eV/atom
- Volume: 31.56 Å³ per atom



Record 4
A plane-wave DFT calculation with PBE-GGA was carried out for a geometry-optimized Li2CaCu structure.

```
8
Lattice="-2.0585 2.0585 10.3862 2.0585 -2.0585 10.3862 2.0585 2.0585 -10.3862" Properties=species:S:1:pos:R:3 pbc="T T T"
Li 3.0878 0.7912 -2.5965
Li 0.7912 1.0293 2.5965
Li -1.0293 1.2673 7.7896
Li 1.2673 1.0293 12.9827
Ca 2.0585 0.0000 5.1931
Ca 0.0000 0.0000 10.3862
Cu 0.0000 0.0000 0.0000
Cu 0.0000 2.0585 5.1931
```

Output
- Symmetry: I-42d, No. 122
- Energy above the lowest structure with this stoichiometry: 0.1455 eV per atom
- ΔH_f (0 K): 0.11 eV/atom
- Volume: 22.01 Å³ per atom